This record from Alexandria describes a relaxed structure of Tl3OF7. The functional is GGA-PBE.

Geometry as extended XYZ:
```
11
Lattice="-3.8786 -1.6308 -2.1042 3.1474 -6.1972 -0.9987 -3.6745 1.1663 5.8691" Properties=species:S:1:pos:R:3 pbc="T T T"
Tl -5.0669 -3.1659 3.6766
O -3.5502 -2.1920 2.4136
Tl -4.8136 -0.7478 1.3356
F -1.0912 -3.0543 4.1245
Tl -3.3008 -3.7265 0.8556
F -1.9019 -5.2181 1.6995
F -0.8481 -0.7333 1.8775
F -1.6694 -2.9986 -0.4493
F -0.2808 -5.7327 -0.8899
F -2.5433 -0.1952 4.5852
F 0.8564 -3.7499 1.2813
```

**Electronic total energy**: -42.38 eV for the cell shown
**Symmetry**: P3m1 (156)
**Raw formation energy**: -17.22 eV/f.u.
**Calculated density**: 6.3 g/cm³

This record from Alexandria describes a relaxed structure of TlO2F2. The functional is GGA-PBE.

Geometry as extended XYZ:
```
10
Lattice="7.0267 0.0000 2.1987 3.5133 6.5295 1.0993 1.0657 0.0000 3.9313" Properties=species:S:1:pos:R:3 pbc="T T T"
Tl 7.5595 2.5232 4.1643
F 2.4022 2.3878 3.5707
F 5.9156 4.1417 4.6700
O 5.1287 0.0000 3.8138
O 9.8088 6.5295 5.3305
F 5.6901 2.3878 2.5592
O 1.7969 0.0000 1.8988
F 9.2034 4.1417 3.6586
Tl 4.0461 4.0062 3.0650
O 6.4770 6.5295 3.4155
```

**Electronic total energy**: -41.55 eV for the cell shown
**Energy relative to the lowest polymorph listed for this composition**: 0.00 eV per formula unit
**Symmetry**: C2/m (12)
**Raw formation energy**: -4.75 eV/f.u.
**Calculated density**: 5.5 g/cm³

This record from Alexandria describes a relaxed structure of Tl2OF2. The functional is GGA-PBE.

Geometry as extended XYZ:
```
10
Lattice="7.3556 0.0000 0.0000 0.0000 7.3556 0.0000 0.0000 0.0000 3.3229" Properties=species:S:1:pos:R:3 pbc="T T T"
Tl 2.3665 1.3113 1.6614
O 0.0000 0.0000 0.0000
Tl 4.9891 6.0443 1.6614
O 3.6778 3.6778 0.0000
F 4.6359 0.9581 0.0000
Tl 6.0443 2.3665 1.6614
F 6.3975 4.6359 0.0000
F 0.9581 2.7197 0.0000
Tl 1.3113 4.9891 1.6614
F 2.7197 6.3975 0.0000
```

**Electronic total energy**: -35.06 eV for the cell shown
**Energy relative to the lowest polymorph listed for this composition**: 2.79 eV per formula unit
**Symmetry**: P4/mbm (127)
**Raw formation energy**: -4.10 eV/f.u.
**Calculated density**: 8.5 g/cm³

This record from Alexandria describes a relaxed structure of Tl5O2F5. The functional is GGA-PBE.

Geometry as extended XYZ:
```
12
Lattice="3.8142 0.0000 0.0000 -1.9071 6.1476 0.0117 0.0000 -2.9114 9.8093" Properties=species:S:1:pos:R:3 pbc="T T T"
O 1.9071 5.2677 1.9064
Tl 0.0000 3.4192 1.9114
F 0.0000 1.5506 5.9623
F 1.9071 -1.4557 4.9047
Tl 1.9071 -0.1829 7.9096
F 0.0000 1.7321 9.3891
Tl 1.9071 3.1020 5.8900
Tl 0.0000 0.1342 3.9310
O 0.0000 -2.0315 7.9146
Tl 0.0000 0.0000 0.0000
F 1.9071 1.5041 0.4320
F 1.9071 1.6857 3.8587
```

**Electronic total energy**: -47.59 eV for the cell shown
**Symmetry**: C2/m (12)
**Raw formation energy**: -16.49 eV/f.u.
**Calculated density**: 8.3 g/cm³

This record from Alexandria describes a relaxed structure of Tl3O2F. The functional is GGA-PBE.

Geometry as extended XYZ:
```
12
Lattice="-4.6472 1.7676 -1.7111 -3.7255 -8.4114 1.4292 1.9082 8.4108 3.5060" Properties=species:S:1:pos:R:3 pbc="T T T"
F -5.9786 1.7547 2.0046
Tl -6.8928 -0.9776 1.6650
O -4.2859 -1.0181 2.6225
O -3.0207 2.7599 3.0889
O -4.4371 3.6441 -0.2300
Tl -5.0693 1.7550 -0.4645
Tl -3.6605 -1.8611 0.0528
Tl -1.8303 3.6036 0.7275
Tl -5.0626 4.4871 2.3396
Tl -3.6538 0.8709 2.8570
O -5.7024 -0.1340 -0.6964
F -2.7446 0.8713 0.3878
```

**Electronic total energy**: -49.22 eV for the cell shown
**Energy relative to the lowest polymorph listed for this composition**: 0.00 eV per formula unit
**Symmetry**: Cmcm (63)
**Raw formation energy**: -5.72 eV/f.u.
**Calculated density**: 8.9 g/cm³

This record from Alexandria describes a relaxed structure of TlOF. The functional is GGA-PBE.

Geometry as extended XYZ:
```
12
Lattice="-4.6825 -2.5809 -2.0552 1.0399 -4.3537 3.0981 -2.9784 1.7303 4.6130" Properties=species:S:1:pos:R:3 pbc="T T T"
Tl -5.0228 -2.9653 -0.3837
O -2.5696 0.0690 1.8529
O -2.5175 -6.1138 1.5162
Tl -4.4133 -0.9434 2.8440
O -4.0515 -5.2733 3.8031
F -0.6212 -2.4700 2.3758
F -5.9999 -2.7343 3.2801
Tl -1.5983 -2.2390 6.0396
F -3.4254 -3.0014 1.4499
O -4.1035 0.9095 4.1397
F -3.1956 -2.2030 4.2061
Tl -2.2077 -4.2609 2.8120
```

**Electronic total energy**: -51.16 eV for the cell shown
**Symmetry**: P2_1/c (14)
**Raw formation energy**: -3.59 eV/f.u.
**Calculated density**: 8.9 g/cm³

This record from Alexandria describes a relaxed structure of Tl3OF. The functional is GGA-PBE.

Geometry as extended XYZ:
```
5
Lattice="5.2016 0.0000 0.0000 0.0000 5.2016 0.0000 0.0000 0.0000 5.2016" Properties=species:S:1:pos:R:3 pbc="T T T"
Tl 0.0000 2.6008 0.0000
Tl 2.6008 0.0000 0.0000
Tl 0.0000 0.0000 2.6008
F 2.6008 2.6008 2.6008
O 0.0000 0.0000 0.0000
```

**Electronic total energy**: -16.93 eV for the cell shown
**Energy relative to the lowest polymorph listed for this composition**: 1.99 eV per formula unit
**Symmetry**: Pm-3m (221)
**Raw formation energy**: -3.00 eV/f.u.
**Calculated density**: 7.6 g/cm³

This record from Alexandria describes a relaxed structure of Tl3OF. The functional is GGA-PBE.

Geometry as extended XYZ:
```
10
Lattice="3.5110 0.0000 0.7220 1.6829 7.0574 0.7141 -0.3078 -1.0020 10.3950" Properties=species:S:1:pos:R:3 pbc="T T T"
Tl 0.2015 0.6770 7.9183
O 1.1501 0.1729 3.3050
Tl 2.6311 1.2638 5.0012
O 3.7360 5.8825 8.5260
Tl 4.6846 5.3784 3.9127
Tl 2.2551 4.7916 6.8298
Tl 1.5391 1.5768 1.4133
F 1.8441 3.2558 8.8285
Tl 3.3470 4.4786 10.4177
F 3.0421 2.7996 3.0025
```

**Electronic total energy**: -37.84 eV for the cell shown
**Energy relative to the lowest polymorph listed for this composition**: 0.00 eV per formula unit
**Symmetry**: C2/m (12)
**Raw formation energy**: -4.99 eV/f.u.
**Calculated density**: 8.3 g/cm³